No. 1
{
  "formula": "TaVGe",
  "functional": "PBE-GGA",
  "state": "optimized geometry",
  "lattice_angstrom": [[-2.452, -1.262, 0.268], [1.048, -1.155, 4.155], [-2.066, 3.850, -0.779]],
  "species": ["V", "Ta", "Ge"],
  "fractional_positions": [[0.280, 0.333, 0.667], [0.655, 0.667, 0.333], [0.065, 0.000, 0.000]],
  "mass_density_g_cm3": 10.70,
  "ef_ev_per_atom": 0.00,
  "e_tot_ev_per_fu": -25.59
}

=====

No. 2
{
  "formula": "V2AsW",
  "functional": "PBE-GGA",
  "state": "optimized geometry",
  "lattice_angstrom": [[-0.441, -1.461, 2.977], [2.413, -3.144, -1.185], [3.315, 1.991, 1.468]],
  "species": ["V", "V", "As", "W"],
  "fractional_positions": [[0.000, 0.500, 0.000], [0.000, 0.000, 0.500], [0.500, 0.000, 0.000], [0.500, 0.500, 0.500]],
  "mass_density_g_cm3": 10.46,
  "ef_ev_per_atom": -0.07,
  "e_tot_ev_per_fu": -36.10,
  "polymorph_energy_ev_per_fu": 0.341
}

=====

No. 3
{
  "formula": "Nd3Sm4Zn4",
  "functional": "PBE-GGA",
  "state": "optimized geometry",
  "lattice_angstrom": [[-1.916, 4.493, 0.996], [-6.108, -1.599, -4.535], [0.151, -4.483, 8.039]],
  "species": ["Zn", "Zn", "Zn", "Zn", "Nd", "Nd", "Nd", "Sm", "Sm", "Sm", "Sm"],
  "fractional_positions": [[0.500, 0.835, 0.000], [0.203, 0.703, 0.407], [0.500, 0.165, 0.000], [0.797, 0.297, 0.593], [0.109, 0.109, 0.218], [0.000, 0.500, 0.000], [0.891, 0.891, 0.782], [0.672, 0.887, 0.344], [0.328, 0.543, 0.656], [0.328, 0.113, 0.656], [0.672, 0.457, 0.344]],
  "mass_density_g_cm3": 6.97,
  "ef_ev_per_atom": -0.12,
  "e_tot_ev_per_fu": -39.58
}

=====

No. 4
{
  "formula": "CdAs",
  "functional": "PBE-GGA",
  "state": "optimized geometry",
  "lattice_angstrom": [[-1.903, 2.135, -1.357], [-1.457, -0.376, 2.785], [2.418, 3.237, 1.702]],
  "species": ["As", "Cd"],
  "fractional_positions": [[0.000, 0.000, 0.000], [0.500, 0.500, 0.500]],
  "mass_density_g_cm3": 7.20,
  "ef_ev_per_atom": 0.21,
  "e_tot_ev_per_fu": -5.14,
  "polymorph_energy_ev_per_fu": 0.590
}

=====

No. 5
{
  "formula": "CaTi3Pt",
  "functional": "PBE-GGA",
  "state": "optimized geometry",
  "lattice_angstrom": [[4.921, 0.000, 0.000], [0.000, 4.921, 0.000], [0.000, 0.000, 4.921]],
  "species": ["Ti", "Ti", "Ti", "Pt", "Ca"],
  "fractional_positions": [[0.000, 0.500, 0.000], [0.500, 0.000, 0.000], [0.000, 0.000, 0.500], [0.000, 0.000, 0.000], [0.500, 0.500, 0.500]],
  "mass_density_g_cm3": 5.28,
  "ef_ev_per_atom": 0.19,
  "e_tot_ev_per_fu": -30.76,
  "polymorph_energy_ev_per_fu": 0.000
}

=====

No. 6
{
  "formula": "YLuAlCo",
  "functional": "PBE-GGA",
  "state": "optimized geometry",
  "lattice_angstrom": [[4.906, 0.000, 0.000], [2.453, 4.249, 0.000], [2.453, 1.416, 4.006]],
  "species": ["Lu", "Al", "Y", "Co"],
  "fractional_positions": [[0.000, 0.000, 0.000], [0.250, 0.250, 0.250], [0.500, 0.500, 0.500], [0.750, 0.750, 0.750]],
  "mass_density_g_cm3": 6.96,
  "ef_ev_per_atom": -0.23,
  "e_tot_ev_per_fu": -22.76
}

=====

No. 7
{
  "formula": "Ho8SbAs3Se4",
  "functional": "PBE-GGA",
  "state": "optimized geometry",
  "lattice_angstrom": [[-6.896, 3.250, -3.159], [-0.425, -6.173, -5.423], [0.475, -1.614, 8.078]],
  "species": ["Se", "Se", "Se", "Se", "Ho", "Ho", "Ho", "Ho", "Ho", "Ho", "Ho", "Ho", "As", "As", "As", "Sb"],
  "fractional_positions": [[0.500, 0.000, 0.500], [0.000, 0.000, 0.000], [0.500, 0.000, 0.000], [0.000, 0.000, 0.500], [0.746, 0.255, 0.009], [0.746, 0.737, 0.491], [0.736, 0.745, 0.991], [0.746, 0.255, 0.491], [0.264, 0.255, 0.009], [0.254, 0.745, 0.509], [0.254, 0.263, 0.509], [0.254, 0.745, 0.991], [0.000, 0.500, 0.500], [0.500, 0.500, 0.000], [0.500, 0.500, 0.500], [0.000, 0.500, 0.000]],
  "mass_density_g_cm3": 8.32,
  "raw_formation_energy_mev_per_atom": -1613,
  "e_tot_ev_per_fu": -94.44
}

=====

No. 8
{
  "formula": "Ac2Zn2Ge",
  "functional": "PBE-GGA",
  "state": "optimized geometry",
  "lattice_angstrom": [[-0.638, 3.870, 1.930], [-1.355, -0.848, 6.203], [9.749, 1.958, 4.250]],
  "species": ["Ac", "Ac", "Ac", "Ac", "Zn", "Zn", "Zn", "Zn", "Ge", "Ge"],
  "fractional_positions": [[0.103, 0.689, 0.105], [0.293, 0.770, 0.643], [0.707, 0.230, 0.357], [0.897, 0.311, 0.895], [0.961, 0.661, 0.418], [0.380, 0.123, 0.117], [0.620, 0.877, 0.883], [0.039, 0.339, 0.582], [0.429, 0.823, 0.319], [0.571, 0.177, 0.681]],
  "mass_density_g_cm3": 7.88,
  "ef_ev_per_atom": -0.46,
  "e_tot_ev_per_fu": -17.68
}